# 1
## CeTiGa2Ni5 (PBE)

Data for a relaxed structure of CeTiGa2Ni5.

Output
- magnetic moment (μB/cell) = 0.0
- energy (eV per atom) = -5.65
- mass density (Mg/m³) = 7.913
- space group = P4/mmm (123)

a = 3.806 Å, b = 3.806 Å, c = 8.996 Å
α = 90.00°, β = 90.00°, γ = 90.00°
Atoms (fractional coordinates):
1 Ni 0.000 0.500 0.286
2 Ga 0.500 0.500 0.131
3 Ni 0.500 0.500 0.500
4 Ni 0.500 0.000 0.714
5 Ga 0.500 0.500 0.869
6 Ni 0.000 0.500 0.714
7 Ti 0.000 0.000 0.000
8 Ce 0.000 0.000 0.500
9 Ni 0.500 0.000 0.286

# 2
## CeYGaNi (PBE)

Data for a relaxed structure of CeYGaNi.

Output
- magnetic moment (μB/cell) = 0.3
- energy (eV per atom) = -5.66
- mass density (Mg/m³) = 6.741
- space group = F-43m (216)

a = 4.993 Å, b = 4.993 Å, c = 4.993 Å
α = 60.00°, β = 60.00°, γ = 60.00°
Atoms (fractional coordinates):
1 Ni 0.000 0.000 0.000
2 Ce 0.250 0.250 0.250
3 Y 0.750 0.750 0.750
4 Ga 0.500 0.500 0.500

# 3
## CeZnGa2Ni4 (PBE)

Data for a relaxed structure of CeZnGa2Ni4.

Output
- magnetic moment (μB/cell) = 0.1
- energy (eV per atom) = -4.93
- mass density (Mg/m³) = 8.155
- space group = R-3m (166)

a = 4.064 Å, b = 4.064 Å, c = 8.581 Å
α = 76.30°, β = 76.30°, γ = 60.00°
Atoms (fractional coordinates):
1 Ni 0.598 0.598 0.207
2 Ni 0.868 0.868 0.396
3 Zn 0.500 0.500 0.500
4 Ce 0.000 0.000 0.000
5 Ga 0.238 0.238 0.285
6 Ni 0.402 0.402 0.793
7 Ni 0.132 0.132 0.604
8 Ga 0.762 0.762 0.715

# 4
## CeZnGa2Ni5 (PBE)

Data for a relaxed structure of CeZnGa2Ni5.

Output
- magnetic moment (μB/cell) = 0.0
- energy (eV per atom) = -4.81
- mass density (Mg/m³) = 7.952
- space group = P4/mmm (123)

a = 3.815 Å, b = 3.815 Å, c = 9.161 Å
α = 90.00°, β = 90.00°, γ = 90.00°
Atoms (fractional coordinates):
1 Ni 0.500 0.000 0.710
2 Ni 0.000 0.500 0.710
3 Ga 0.500 0.500 0.132
4 Zn 0.000 0.000 0.000
5 Ce 0.000 0.000 0.500
6 Ga 0.500 0.500 0.868
7 Ni 0.500 0.500 0.500
8 Ni 0.000 0.500 0.290
9 Ni 0.500 0.000 0.290

# 5
## Ce2ZnGa2Ni5 (PBE)

Data for a relaxed structure of Ce2ZnGa2Ni5.

Output
- magnetic moment (μB/cell) = 3.4
- energy (eV per atom) = -5.06
- mass density (Mg/m³) = 8.317
- space group = P4/mbm (127)

a = 2.974 Å, b = 10.223 Å, c = 10.223 Å
α = 90.00°, β = 90.00°, γ = 90.00°
Atoms (fractional coordinates):
1 Ni 0.500 0.000 0.500
2 Ni 0.500 0.943 0.190
3 Ce 0.000 0.672 0.172
4 Ga 0.000 0.130 0.630
5 Ni 0.500 0.500 0.000
6 Ce 0.000 0.828 0.672
7 Ni 0.500 0.057 0.810
8 Zn 0.000 0.500 0.500
9 Ni 0.500 0.557 0.690
10 Ni 0.500 0.810 0.943
11 Ni 0.500 0.690 0.443
12 Ni 0.500 0.310 0.557
13 Ce 0.000 0.172 0.328
14 Ga 0.000 0.630 0.870
15 Ce 0.000 0.328 0.828
16 Ga 0.000 0.370 0.130
17 Ni 0.500 0.190 0.057
18 Ga 0.000 0.870 0.370
19 Ni 0.500 0.443 0.310
20 Zn 0.000 0.000 0.000

# 6
## Ce2ZnGa3Ni4 (PBE)

Data for a relaxed structure of Ce2ZnGa3Ni4.

Output
- magnetic moment (μB/cell) = 0.7
- energy (eV per atom) = -5.02
- mass density (Mg/m³) = 7.813
- space group = P-4m2 (115)

a = 4.027 Å, b = 4.027 Å, c = 10.348 Å
α = 90.00°, β = 90.00°, γ = 90.00°
Atoms (fractional coordinates):
1 Ni 0.500 0.500 0.000
2 Ga 0.000 0.000 0.500
3 Ce 0.500 0.000 0.253
4 Ga 0.000 0.500 0.126
5 Ga 0.500 0.000 0.874
6 Ni 0.000 0.000 0.000
7 Ni 0.000 0.500 0.359
8 Ni 0.500 0.000 0.641
9 Ce 0.000 0.500 0.747
10 Zn 0.500 0.500 0.500

# 7
## Ce2ZnGa4Ni3 (PBE)

Data for a relaxed structure of Ce2ZnGa4Ni3.

Output
- magnetic moment (μB/cell) = 0.6
- energy (eV per atom) = -4.78
- mass density (Mg/m³) = 7.676
- space group = P-4m2 (115)

a = 4.115 Å, b = 4.115 Å, c = 10.229 Å
α = 90.00°, β = 90.00°, γ = 90.00°
Atoms (fractional coordinates):
1 Ce 0.000 0.500 0.757
2 Ga 0.500 0.500 0.000
3 Ce 0.500 0.000 0.243
4 Ga 0.500 0.000 0.637
5 Zn 0.500 0.500 0.500
6 Ni 0.000 0.500 0.131
7 Ga 0.000 0.000 0.000
8 Ga 0.000 0.500 0.363
9 Ni 0.000 0.000 0.500
10 Ni 0.500 0.000 0.869

# 8
## CeZnGaNi3 (PBE)

Data for a relaxed structure of CeZnGaNi3.

Output
- magnetic moment (μB/cell) = 0.0
- energy (eV per atom) = -4.83
- mass density (Mg/m³) = 7.772
- space group = Cmcm (63)

a = 6.348 Å, b = 5.275 Å, c = 6.334 Å
α = 114.61°, β = 90.00°, γ = 90.00°
Atoms (fractional coordinates):
1 Ni 0.500 0.265 0.000
2 Ga 0.250 0.366 0.731
3 Ni 0.500 0.735 0.000
4 Ni 0.000 0.265 0.000
5 Ga 0.750 0.634 0.269
6 Ce 0.750 0.331 0.662
7 Ni 0.000 0.735 0.000
8 Ni 0.250 0.149 0.297
9 Ni 0.750 0.851 0.703
10 Ce 0.250 0.669 0.338
11 Zn 0.250 0.916 0.832
12 Zn 0.750 0.084 0.168

Question: Which formula does entry 3 have?
Answer: CeZnGa2Ni4